A plane-wave DFT calculation with GGA+U was carried out for an optimized crystal structure of CrPBrO2.

## Properties
Offset from the most stable computed form   989.3 meV/atom
E   -4.284 eV/atom
SG   P4/mmm

Cell lengths 3.8179, 3.8179, 5.3265 Å; angles 90.00, 90.00, 90.00 degrees
Last column: nearest neighbours and their distance in Å.
Sites, in units of the cell vectors:
1 Cr 0.5000 0.5000 0.5000  4 P 2.70
2 Br 0.0000 0.0000 0.0000  4 O 1.91
3 O 0.5000 0.0000 0.0000  2 Br 1.91
4 O 0.0000 0.5000 0.0000  2 Br 1.91
5 P 0.0000 0.0000 0.5000  2 Br 2.66, 4 Cr 2.70